Computed, not measured: ZnInHg2Br after structural relaxation at the GGA-PBE level of DFT.

Structure (POSCAR):
```
ZnInHg2Br
1.0
-4.795 1.480 -1.312
-1.826 -1.996 4.425
0.826 4.963 2.579
In Hg Zn Br
1 2 1 1
direct
0.000 0.000 0.500
0.500 0.000 0.000
0.000 0.500 0.000
0.000 0.000 0.000
0.500 0.500 0.500
```

Computed properties:
**Total energy**: -0.101 Ry/atom
**Formation energy (no corrections)**: -0.119 eV per atom
**Magnetic moment**: 0.000 μB/atom
**Symmetry**: P4/mmm (123)

Computed, not measured: Zn2In2HgBr6 after structural relaxation at the GGA-PBE level of DFT.

Structure (POSCAR):
```
Zn2In2HgBr6
1.0
-1.589 -7.407 -2.598
-0.660 -8.249 4.820
-8.089 2.320 -3.923
Br In Hg Zn
6 2 1 2
direct
0.322 0.757 0.953
0.091 0.328 0.114
0.909 0.672 0.886
0.157 0.784 0.563
0.843 0.216 0.437
0.678 0.243 0.047
0.030 0.740 0.229
0.970 0.260 0.771
0.500 0.000 0.500
0.977 0.171 0.171
0.023 0.829 0.829
```

Computed properties:
**Total energy**: -0.173 Ry/atom
**Formation energy (no corrections)**: -0.690 eV per atom
**Magnetic moment**: 0.000 μB/atom
**Symmetry**: P-1 (2)

> Which value of formation energy (no corrections) does entry 2 give?

-0.690 eV per atom